4
Lattice="-0.397 -3.712 -3.917 3.034 -2.872 -3.439 0.340 -2.982 2.791" Properties=species:S:1:pos:R:3 comment="Sc2RhSe, optimized geometry, DFT PBE" spacegroup="Amm2, No. 38" de_polymorph_kcal_per_mol_atoms=0.00 final_energy_ev_per_atom=-6.993 pbc="T T T"
Rh 2.194 -7.344 -2.846
Sc 2.876 -9.047 -4.751
Sc 0.827 -2.865 -0.904
Se 1.546 -4.660 -2.910